1.
PuAlZn2 | PBE | relaxed

Values from the calculation:
Theoretical density ... 8.4 Mg/m³
DFT formation energy ... -0.03 eV per atom
SG ... P4/mmm, No. 123
Volume ... 19.8 Å³/atom

Cell lengths 4.4453, 4.4453, 4.0015 Å; angles 90.00, 90.00, 90.00 degrees
With the nearest neighbours (Å) after each atom.
Sites, in units of the cell vectors:
Pu 0.0000 0.0000 0.0000  8 Zn 2.99, 4 Al 3.14
Al 0.5000 0.5000 0.0000  8 Zn 2.99, 4 Pu 3.14
Zn 0.0000 0.5000 0.5000  4 Pu 2.99, 4 Al 2.99, 4 Zn 3.14
Zn 0.5000 0.0000 0.5000  4 Pu 2.99, 4 Al 2.99, 4 Zn 3.14



2.
MgCuH | PBE | relaxed

Values from the calculation:
Theoretical density ... 3.9 Mg/m³
Final energy ... -3.052 eV/atom
SG ... P2_1/m, No. 11
Volume ... 12.6 Å³/atom

Cell lengths 3.5475, 3.2595, 6.5598 Å; angles 90.00, 90.43, 90.00 degrees
With the nearest neighbours (Å) after each atom.
Sites, in units of the cell vectors:
Mg 0.2500 0.2500 0.1701  4 H 2.01-2.07
Mg 0.7500 0.7500 0.8299  4 H 2.01-2.07
Cu 0.2497 0.7500 0.5045  4 Cu 2.41
Cu 0.7503 0.2500 0.4955  4 Cu 2.41
H 0.2503 0.7500 0.9911  4 Mg 2.01-2.07
H 0.7497 0.2500 0.0089  4 Mg 2.01-2.07



3.
HfNiC | PBE | relaxed

Values from the calculation:
Theoretical density ... 12.1 Mg/m³
DFT formation energy ... -0.19 eV per atom
SG ... Cmcm, No. 63
Volume ... 11.4 Å³/atom

Cell lengths 3.2891, 8.5054, 4.8891 Å; angles 90.00, 90.00, 90.00 degrees
With the nearest neighbours (Å) after each atom.
Sites, in units of the cell vectors:
Hf 0.0000 0.2021 0.2500  4 C 2.32-2.58
Hf 0.0000 0.7979 0.7500  4 C 2.32-2.58
Hf 0.5000 0.2979 0.7500  4 C 2.32-2.58
Hf 0.5000 0.7021 0.2500  4 C 2.32-2.58
Ni 0.0000 0.5000 0.0000  4 C 2.23, 2 Ni 2.44
Ni 0.0000 0.5000 0.5000  4 C 2.23, 2 Ni 2.44
Ni 0.5000 0.0000 0.0000  4 C 2.23, 2 Ni 2.44
Ni 0.5000 0.0000 0.5000  4 C 2.23, 2 Ni 2.44
C 0.0000 0.1049 0.7500  4 Ni 2.23, 2 Hf 2.32
C 0.0000 0.8951 0.2500  4 Ni 2.23, 2 Hf 2.32
C 0.5000 0.3951 0.2500  4 Ni 2.23, 2 Hf 2.32
C 0.5000 0.6049 0.7500  4 Ni 2.23, 2 Hf 2.32